NaCu2SiTe4 PBE optimized geometry; calculated volume = 234.76 Å³/f.u.; formation energy from raw total energies = -200.5 meV/atom
1.0
6.523 0.269 0.000
-0.273 6.523 0.000
-3.125 -3.396 5.507
Te Na Cu Si
4 1 2 1
direct
0.860 0.420 0.280
0.420 0.860 0.280
0.580 0.580 0.720
0.140 0.140 0.720
0.000 0.000 0.001
0.750 0.250 0.500
0.250 0.750 0.500
0.500 0.500 0.000